Entry 1:
BeIn2ReN | PBE | relaxed

a b c (Å): 5.284 5.284 2.886
angles (deg): 90.00 90.00 90.00
Space group P4/mmm (No. 123)
Symmetry-distinct sites (fractional):
1 Be 0.000 0.000 0.000 [1 per cell]
2 In 0.000 0.500 0.000 [2 per cell]
3 Re 0.500 0.500 0.500 [1 per cell]
4 N 0.000 0.000 0.500 [1 per cell]

## Properties
Raw formation energy, kcal/mol of atoms: 12.440
Density of states at the Fermi level, states/eV per cell: 1.88
V, A^3/atom: 16.12
Total moment, μB/f.u.: 0.13
Total DFT energy (no corrections), eV/atom: -5.456

Entry 2:
BeInSN2 | PBE | relaxed

a b c (Å): 3.582 3.582 7.508
angles (deg): 90.00 90.00 90.00
Space group P4/mmm (No. 123)
Symmetry-distinct sites (fractional):
1 Be 0.000 0.000 0.000 [1 per cell]
2 In 0.500 0.500 0.500 [1 per cell]
3 S 0.000 0.000 0.500 [1 per cell]
4 N 0.000 0.500 0.000 [2 per cell]

## Properties
Raw formation energy, kcal/mol of atoms: 22.907
Density of states at the Fermi level, states/eV per cell: 1.22
V, A^3/atom: 19.27
Total moment, μB/f.u.: 1.63
Total DFT energy (no corrections), eV/atom: -4.455

Entry 3:
BeInSeN2 | PBE | relaxed

a b c (Å): 3.681 3.681 5.464
angles (deg): 90.00 90.00 90.00
Space group P4/mmm (No. 123)
Symmetry-distinct sites (fractional):
1 Be 0.000 0.000 0.000 [1 per cell]
2 In 0.500 0.500 0.500 [1 per cell]
3 Se 0.000 0.000 0.500 [1 per cell]
4 N 0.000 0.500 0.000 [2 per cell]

## Properties
Raw formation energy, kcal/mol of atoms: 23.975
Density of states at the Fermi level, states/eV per cell: 1.90
V, A^3/atom: 14.80
Energy relative to the lowest polymorph listed for this composition, meV per atom: 0
Total moment, μB/f.u.: 1.53
Total DFT energy (no corrections), eV/atom: -4.280

Entry 4:
BeInSeN2 | PBE | relaxed

a b c (Å): 4.119 4.119 5.910
angles (deg): 90.00 90.00 90.00
Space group P4/mmm (No. 123)
Symmetry-distinct sites (fractional):
1 Be 0.000 0.000 0.000 [1 per cell]
2 In 0.500 0.500 0.500 [1 per cell]
3 Se 0.500 0.500 0.000 [1 per cell]
4 N 0.000 0.500 0.500 [2 per cell]

## Properties
Raw formation energy, kcal/mol of atoms: 38.800
Density of states at the Fermi level, states/eV per cell: 1.53
V, A^3/atom: 20.05
Energy relative to the lowest polymorph listed for this composition, meV per atom: 643
Total moment, μB/f.u.: 3.04
Total DFT energy (no corrections), eV/atom: -3.637

Entry 5:
SrBe2InN | PBE | relaxed

a b c (Å): 5.667 5.667 4.272
angles (deg): 90.00 90.00 90.00
Space group P4/mmm (No. 123)
Symmetry-distinct sites (fractional):
1 Sr 0.000 0.000 0.000 [1 per cell]
2 Be 0.000 0.500 0.000 [2 per cell]
3 In 0.500 0.500 0.500 [1 per cell]
4 N 0.000 0.000 0.500 [1 per cell]

## Properties
Raw formation energy, kcal/mol of atoms: 40.158
Density of states at the Fermi level, states/eV per cell: 2.62
V, A^3/atom: 27.44
Total moment, μB/f.u.: 0.00
Total DFT energy (no corrections), eV/atom: -2.298

Entry 6:
BeInTeN2 | PBE | relaxed

a b c (Å): 4.184 4.184 6.307
angles (deg): 90.00 90.00 90.00
Space group P4/mmm (No. 123)
Symmetry-distinct sites (fractional):
1 Be 0.000 0.000 0.000 [1 per cell]
2 In 0.500 0.500 0.500 [1 per cell]
3 Te 0.500 0.500 0.000 [1 per cell]
4 N 0.000 0.500 0.500 [2 per cell]

## Properties
Raw formation energy, kcal/mol of atoms: 38.115
Density of states at the Fermi level, states/eV per cell: 2.25
V, A^3/atom: 22.08
Energy relative to the lowest polymorph listed for this composition, meV per atom: 360
Total moment, μB/f.u.: 3.28
Total DFT energy (no corrections), eV/atom: -3.599

Entry 7:
BeInTe2N | PBE | relaxed

a b c (Å): 5.637 5.637 4.030
angles (deg): 90.00 90.00 90.00
Space group P4/mmm (No. 123)
Symmetry-distinct sites (fractional):
1 Be 0.000 0.000 0.000 [1 per cell]
2 In 0.500 0.500 0.500 [1 per cell]
3 Te 0.000 0.500 0.500 [2 per cell]
4 N 0.500 0.500 0.000 [1 per cell]

## Properties
Raw formation energy, kcal/mol of atoms: 31.711
Density of states at the Fermi level, states/eV per cell: 6.35
V, A^3/atom: 25.61
Energy relative to the lowest polymorph listed for this composition, meV per atom: 1120
Total moment, μB/f.u.: 0.00
Total DFT energy (no corrections), eV/atom: -2.840

Entry 8:
BeInTeN2 | PBE | relaxed

a b c (Å): 3.960 3.960 5.761
angles (deg): 90.00 90.00 90.00
Space group P4/mmm (No. 123)
Symmetry-distinct sites (fractional):
1 Be 0.000 0.000 0.000 [1 per cell]
2 In 0.500 0.500 0.500 [1 per cell]
3 Te 0.000 0.000 0.500 [1 per cell]
4 N 0.000 0.500 0.000 [2 per cell]

## Properties
Raw formation energy, kcal/mol of atoms: 29.810
Density of states at the Fermi level, states/eV per cell: 2.48
V, A^3/atom: 18.07
Energy relative to the lowest polymorph listed for this composition, meV per atom: 0
Total moment, μB/f.u.: 3.08
Total DFT energy (no corrections), eV/atom: -3.959

Entry 9:
BeInTe2N | PBE | relaxed

a b c (Å): 5.862 5.862 3.134
angles (deg): 90.00 90.00 90.00
Space group P4/mmm (No. 123)
Symmetry-distinct sites (fractional):
1 Be 0.000 0.000 0.000 [1 per cell]
2 In 0.500 0.500 0.500 [1 per cell]
3 Te 0.000 0.500 0.000 [2 per cell]
4 N 0.000 0.000 0.500 [1 per cell]

## Properties
Raw formation energy, kcal/mol of atoms: 5.891
Density of states at the Fermi level, states/eV per cell: 3.09
V, A^3/atom: 21.54
Energy relative to the lowest polymorph listed for this composition, meV per atom: 0
Total moment, μB/f.u.: 0.00
Total DFT energy (no corrections), eV/atom: -3.959

Entry 10:
BeTl2InN | PBE | relaxed

a b c (Å): 5.949 5.949 3.094
angles (deg): 90.00 90.00 90.00
Space group P4/mmm (No. 123)
Symmetry-distinct sites (fractional):
1 Be 0.000 0.000 0.000 [1 per cell]
2 Tl 0.000 0.500 0.500 [2 per cell]
3 In 0.500 0.500 0.000 [1 per cell]
4 N 0.000 0.000 0.500 [1 per cell]

## Properties
Raw formation energy, kcal/mol of atoms: 0.628
Density of states at the Fermi level, states/eV per cell: 1.92
V, A^3/atom: 21.90
Total moment, μB/f.u.: 0.00
Total DFT energy (no corrections), eV/atom: -3.877

Entry 11:
YBe2InN | PBE | relaxed

a b c (Å): 5.372 5.372 4.235
angles (deg): 90.00 90.00 90.00
Space group P4/mmm (No. 123)
Symmetry-distinct sites (fractional):
1 Y 0.000 0.000 0.000 [1 per cell]
2 Be 0.000 0.500 0.000 [2 per cell]
3 In 0.500 0.500 0.500 [1 per cell]
4 N 0.000 0.000 0.500 [1 per cell]

## Properties
Raw formation energy, kcal/mol of atoms: 29.226
Density of states at the Fermi level, states/eV per cell: 3.36
V, A^3/atom: 24.44
Total moment, μB/f.u.: 0.00
Total DFT energy (no corrections), eV/atom: -3.729

Entry 12:
Zr2BeInN | PBE | relaxed

a b c (Å): 4.776 4.776 3.454
angles (deg): 90.00 90.00 90.00
Space group P4/mmm (No. 123)
Symmetry-distinct sites (fractional):
1 Zr 0.000 0.500 0.000 [2 per cell]
2 Be 0.000 0.000 0.500 [1 per cell]
3 In 0.500 0.500 0.500 [1 per cell]
4 N 0.000 0.000 0.000 [1 per cell]

## Properties
Raw formation energy, kcal/mol of atoms: -12.505
Density of states at the Fermi level, states/eV per cell: 3.80
V, A^3/atom: 15.76
Total moment, μB/f.u.: 0.00
Total DFT energy (no corrections), eV/atom: -6.920

Entry 13:
NaBeIn | PBE | relaxed

a b c (Å): 4.156 4.354 14.705
angles (deg): 90.00 90.00 90.00
Space group Amm2 (No. 38)
Symmetry-distinct sites (fractional):
1 Na 0.000 0.000 0.000 [2 per cell]
2 Na 0.500 0.000 0.401 [2 per cell]
3 Be 0.250 0.000 0.610 [4 per cell]
4 In 0.000 0.000 0.778 [2 per cell]
5 In 0.500 0.000 0.174 [2 per cell]

## Properties
Density of states at the Fermi level, states/eV per cell: 2.27
V, A^3/atom: 22.17
Energy relative to the lowest polymorph listed for this composition, meV per atom: 110
Calculated formation energy, eV/atom: 0.23
Total moment, μB/f.u.: 0.00
Total DFT energy (no corrections), eV/atom: -2.363

Entry 14:
NaBe2In2 | PBE | relaxed

a b c (Å): 3.878 3.878 12.719
angles (deg): 90.00 90.00 90.00
Space group I4/mmm (No. 139)
Symmetry-distinct sites (fractional):
1 Na 0.000 0.000 0.000 [2 per cell]
2 Be 0.000 0.500 0.250 [4 per cell]
3 In 0.000 0.000 0.383 [4 per cell]

## Properties
Density of states at the Fermi level, states/eV per cell: 3.34
V, A^3/atom: 19.13
Calculated formation energy, eV/atom: 0.33
Total moment, μB/f.u.: 0.00
Total DFT energy (no corrections), eV/atom: -2.517

Entry 15:
NaBe3In | PBE | relaxed

a b c (Å): 4.537 4.537 4.537
angles (deg): 90.00 90.00 90.00
Space group Pm-3m (No. 221)
Symmetry-distinct sites (fractional):
1 Na 0.000 0.000 0.000 [1 per cell]
2 Be 0.000 0.000 0.500 [3 per cell]
3 In 0.500 0.500 0.500 [1 per cell]

## Properties
Density of states at the Fermi level, states/eV per cell: 2.73
V, A^3/atom: 18.68
Energy relative to the lowest polymorph listed for this composition, meV per atom: 626
Calculated formation energy, eV/atom: 1.62
Total moment, μB/f.u.: 0.00
Total DFT energy (no corrections), eV/atom: -1.424

Entry 16:
NaBeIn | PBE | relaxed

a b c (Å): 5.108 3.849 6.681
angles (deg): 90.00 104.69 90.00
Space group Pm (No. 6)
Symmetry-distinct sites (fractional):
1 Na 0.000 0.000 0.000 [1 per cell]
2 Na 0.063 0.000 0.452 [1 per cell]
3 Be 0.622 0.000 0.609 [1 per cell]
4 Be 0.837 0.500 0.674 [1 per cell]
5 In 0.402 0.500 0.815 [1 per cell]
6 In 0.519 0.500 0.303 [1 per cell]

## Properties
Density of states at the Fermi level, states/eV per cell: 2.53
V, A^3/atom: 21.17
Energy relative to the lowest polymorph listed for this composition, meV per atom: 142
Calculated formation energy, eV/atom: 0.26
Total moment, μB/f.u.: 0.00
Total DFT energy (no corrections), eV/atom: -2.331

Entry 17:
NaBeIn3 | PBE | relaxed

a b c (Å): 5.036 5.036 5.036
angles (deg): 90.00 90.00 90.00
Space group Pm-3m (No. 221)
Symmetry-distinct sites (fractional):
1 Na 0.000 0.000 0.000 [1 per cell]
2 Be 0.500 0.500 0.500 [1 per cell]
3 In 0.000 0.500 0.500 [3 per cell]

## Properties
Density of states at the Fermi level, states/eV per cell: 3.67
V, A^3/atom: 25.55
Energy relative to the lowest polymorph listed for this composition, meV per atom: 0
Calculated formation energy, eV/atom: 0.19
Total moment, μB/f.u.: 0.00
Total DFT energy (no corrections), eV/atom: -2.462

Entry 18:
Na3BeIn | PBE | relaxed

a b c (Å): 5.890 5.890 5.890
angles (deg): 90.00 90.00 90.00
Space group Pm-3m (No. 221)
Symmetry-distinct sites (fractional):
1 Na 0.000 0.000 0.500 [3 per cell]
2 Be 0.500 0.500 0.500 [1 per cell]
3 In 0.000 0.000 0.000 [1 per cell]

## Properties
Density of states at the Fermi level, states/eV per cell: 3.14
V, A^3/atom: 40.86
Energy relative to the lowest polymorph listed for this composition, meV per atom: 259
Calculated formation energy, eV/atom: 0.80
Total moment, μB/f.u.: 0.00
Total DFT energy (no corrections), eV/atom: -1.282

Entry 19:
NaBeIn | PBE | relaxed

a b c (Å): 3.824 3.824 11.344
angles (deg): 89.61 89.71 60.01
Space group P-1 (No. 2)
Symmetry-distinct sites (fractional):
1 Na 0.170 0.174 0.147 [2 per cell]
2 Be 0.167 0.167 0.499 [2 per cell]
3 In 0.499 0.498 0.641 [2 per cell]

## Properties
Density of states at the Fermi level, states/eV per cell: 1.66
V, A^3/atom: 23.95
Energy relative to the lowest polymorph listed for this composition, meV per atom: 22
Calculated formation energy, eV/atom: 0.14
Total moment, μB/f.u.: 0.00
Total DFT energy (no corrections), eV/atom: -2.451

Entry 20:
Na2BeIn | PBE | relaxed

a b c (Å): 7.193 7.193 7.193
angles (deg): 90.00 90.00 90.00
Space group Fm-3m (No. 225)
Symmetry-distinct sites (fractional):
1 Na 0.250 0.250 0.250 [8 per cell]
2 Be 0.000 0.000 0.000 [4 per cell]
3 In 0.000 0.000 0.500 [4 per cell]

## Properties
Density of states at the Fermi level, states/eV per cell: 7.72
V, A^3/atom: 23.26
Energy relative to the lowest polymorph listed for this composition, meV per atom: 114
Calculated formation energy, eV/atom: 0.47
Total moment, μB/f.u.: 0.00
Total DFT energy (no corrections), eV/atom: -1.802

Entry 21:
NaBeIn | PBE | relaxed

a b c (Å): 4.985 8.468 5.965
angles (deg): 90.00 114.12 90.00
Space group C2/m (No. 12)
Symmetry-distinct sites (fractional):
1 Na 0.000 0.167 0.000 [4 per cell]
2 Be 0.000 0.250 0.500 [4 per cell]
3 In 0.164 0.500 0.326 [4 per cell]

## Properties
Density of states at the Fermi level, states/eV per cell: 2.82
V, A^3/atom: 19.15
Energy relative to the lowest polymorph listed for this composition, meV per atom: 66
Calculated formation energy, eV/atom: 0.19
Total moment, μB/f.u.: 0.00
Total DFT energy (no corrections), eV/atom: -2.407

Entry 22:
NaBeIn | PBE | relaxed

a b c (Å): 12.910 4.034 5.240
angles (deg): 90.00 110.82 90.00
Space group C2/m (No. 12)
Symmetry-distinct sites (fractional):
1 Na 0.129 0.000 0.356 [4 per cell]
2 Be 0.220 0.000 0.949 [4 per cell]
3 In 0.080 0.500 0.805 [4 per cell]

## Properties
Density of states at the Fermi level, states/eV per cell: 2.24
V, A^3/atom: 21.26
Energy relative to the lowest polymorph listed for this composition, meV per atom: 49
Calculated formation energy, eV/atom: 0.17
Total moment, μB/f.u.: 0.00
Total DFT energy (no corrections), eV/atom: -2.424

Entry 23:
NaBeIn3 | PBE | relaxed

a b c (Å): 5.491 5.491 5.491
angles (deg): 90.00 90.00 90.00
Space group Pm-3m (No. 221)
Symmetry-distinct sites (fractional):
1 Na 0.000 0.000 0.000 [1 per cell]
2 Be 0.500 0.500 0.500 [1 per cell]
3 In 0.000 0.000 0.500 [3 per cell]

## Properties
Density of states at the Fermi level, states/eV per cell: 3.79
V, A^3/atom: 33.12
Energy relative to the lowest polymorph listed for this composition, meV per atom: 847
Calculated formation energy, eV/atom: 1.04
Total moment, μB/f.u.: 0.00
Total DFT energy (no corrections), eV/atom: -1.615

Entry 24:
NaBeIn | PBE | relaxed

a b c (Å): 3.8338 3.8338 33.5026
angles (deg): 90.00 90.00 120.00
Space group R3m (No. 160, hexagonal axes)
Symmetry-distinct sites (fractional):
1 Na 0.0000 0.0000 0.0000 [3 per cell]
2 Na 0.0000 0.0000 0.2375 [3 per cell]
3 Be 0.0000 0.0000 0.1192 [3 per cell]
4 Be 0.0000 0.0000 0.4525 [3 per cell]
5 In 0.0000 0.0000 0.7381 [3 per cell]
6 In 0.0000 0.0000 0.8332 [3 per cell]

## Properties
Density of states at the Fermi level, states/eV per cell: 4.04
V, A^3/atom: 23.69
Energy relative to the lowest polymorph listed for this composition, meV per atom: 20
Calculated formation energy, eV/atom: 0.14
Total moment, μB/f.u.: 0.00
Total DFT energy (no corrections), eV/atom: -2.453

Entry 25:
NaBeIn | PBE | relaxed

a b c (Å): 3.991 5.300 6.967
angles (deg): 92.55 105.78 93.01
Space group P1 (No. 1)
Symmetry-distinct sites (fractional):
1 Na 0.000 0.000 0.000 [1 per cell]
2 Na 0.489 0.997 0.502 [1 per cell]
3 Be 0.220 0.486 0.440 [1 per cell]
4 Be 0.784 0.510 0.569 [1 per cell]
5 In 0.390 0.507 0.799 [1 per cell]
6 In 0.615 0.490 0.210 [1 per cell]

## Properties
Density of states at the Fermi level, states/eV per cell: 2.11
V, A^3/atom: 23.56
Energy relative to the lowest polymorph listed for this composition, meV per atom: 84
Calculated formation energy, eV/atom: 0.21
Total moment, μB/f.u.: 0.00
Total DFT energy (no corrections), eV/atom: -2.389

Entry 26:
NaBe3In | PBE | relaxed

a b c (Å): 4.624 4.624 4.624
angles (deg): 90.00 90.00 90.00
Space group Pm-3m (No. 221)
Symmetry-distinct sites (fractional):
1 Na 0.000 0.000 0.000 [1 per cell]
2 Be 0.000 0.500 0.500 [3 per cell]
3 In 0.500 0.500 0.500 [1 per cell]

## Properties
Density of states at the Fermi level, states/eV per cell: 1.70
V, A^3/atom: 19.78
Energy relative to the lowest polymorph listed for this composition, meV per atom: 0
Calculated formation energy, eV/atom: 1.00
Total moment, μB/f.u.: 0.00
Total DFT energy (no corrections), eV/atom: -2.050